(1)
Computed, not measured: a relaxed structure of ZrTlAgSeS2 at the PBE level of DFT.

a b c (Å): 8.0979 3.8884 9.9852
angles (deg): 90.00 110.20 90.00
Space group P2_1/m (No. 11)
Asymmetric unit:
Zr: 0.1860 0.2500 0.1574 x2
Tl: 0.2304 0.7500 0.7021 x2
Ag: 0.4332 0.7500 0.3903 x2
Se: 0.4100 0.7500 0.1244 x2
S: 0.0420 0.2500 0.8736 x2
S: 0.2335 0.2500 0.4226 x2

Summary:
Total magnetization = 0.000 μB/atom
Calculated density = 6.2 Mg/m³
Energy above the most stable polymorph in this dataset = 0.015 eV/atom


(2)
Computed, not measured: a relaxed structure of ZrTlAgSeS2 at the PBE level of DFT.

a b c (Å): 8.0877 3.8974 10.0902
angles (deg): 90.00 109.25 90.00
Space group P2_1/m (No. 11)
Asymmetric unit:
Zr: 0.2038 0.2500 0.1643 x2
Tl: 0.2300 0.7500 0.7009 x2
Ag: 0.4375 0.7500 0.3906 x2
Se: 0.0542 0.2500 0.8706 x2
S: 0.2371 0.2500 0.4221 x2
S: 0.3993 0.7500 0.1346 x2

Summary:
Total magnetization = 0.001 μB/atom
Calculated density = 6.0 Mg/m³
Energy above the most stable polymorph in this dataset = 0.038 eV/atom


- Number 2 is which compound?
  ZrTlAgSeS2